Record 1
Crystalline AcPmO3 at its relaxed geometry. Source: the Alexandria database, functional PBE.

Cell: 3.793 6.077 7.808 Å, 90.00 104.06 90.00°
Fractional coordinates of all 10 atoms:
Ac1 0.823 0.528 0.646
Ac2 0.177 0.028 0.354
Pm1 0.455 0.974 0.910
Pm2 0.545 0.474 0.090
O1 0.682 0.307 0.364
O2 0.318 0.807 0.636
O3 0.971 0.709 0.943
O4 0.029 0.209 0.057
O5 0.615 0.813 0.229
O6 0.385 0.313 0.771

**Formation energy from raw total energies**: -319.2 kJ/mol of atoms

Record 2
Crystalline Tl2CoSi at its relaxed geometry. Source: the Alexandria database, functional PBE.

Cell: 9.977 9.977 7.382 Å, 47.48 47.48 90.00°
Fractional coordinates of all 8 atoms:
Tl1 0.871 0.125 0.250
Tl2 0.879 0.625 0.250
Tl3 0.375 0.129 0.750
Tl4 0.875 0.121 0.750
Co1 0.000 0.000 0.000
Co2 0.750 0.250 0.500
Si1 0.500 0.500 0.000
Si2 0.250 0.750 0.500

**Offset from the most stable computed form**: 113.0 meV/atom
**Formation energy from raw total energies**: 25.7 kJ/mol of atoms

Record 3
Crystalline Sr2YV at its relaxed geometry. Source: the Alexandria database, functional PBE.

Cell: 9.384 9.384 7.439 Å, 50.90 50.90 90.00°
Last column: magnetic moment on the atom in μB.
Fractional coordinates of all 8 atoms:
Y1 0.000 0.000 0.000  0.04
Y2 0.750 0.250 0.500  0.04
Sr1 0.579 0.125 0.250  0.06
Sr2 0.171 0.625 0.250  0.06
Sr3 0.375 0.421 0.750  0.06
Sr4 0.875 0.829 0.750  0.06
V1 0.500 0.500 0.000  2.96
V2 0.250 0.750 0.500  2.96

**Offset from the most stable computed form**: 144.3 meV/atom
**Energy of formation from the pure elements**: 0.843 eV/atom

Record 4
Crystalline KPWCl2 at its relaxed geometry. Source: the Alexandria database, functional PBE.

Cell: 5.378 5.378 5.810 Å, 90.00 90.00 90.00°
Last column: magnetic moment on the atom in μB.
Fractional coordinates of all 5 atoms:
P1 0.000 0.000 0.500  -0.16
K1 0.000 0.000 0.000  0.03
W1 0.500 0.500 0.500  3.37
Cl1 0.000 0.500 0.000  -0.07
Cl2 0.500 0.000 0.000  -0.07

**Offset from the most stable computed form**: 1927.8 meV/atom
**Formation energy from raw total energies**: 147.0 kJ/mol of atoms

Record 5
Crystalline P2RhPb at its relaxed geometry. Source: the Alexandria database, functional PBE.

Cell: 6.317 6.317 6.317 Å, 35.65 35.65 35.65°
Fractional coordinates of all 4 atoms:
P1 0.029 0.029 0.029
P2 0.471 0.471 0.471
Pb1 0.250 0.250 0.250
Rh1 0.750 0.750 0.750

**Energy of formation from the pure elements**: -0.119 eV/atom

Record 6
Crystalline Be3BP at its relaxed geometry. Source: the Alexandria database, functional PBE.

Cell: 4.005 4.005 4.005 Å, 90.00 90.00 90.00°
Fractional coordinates of all 5 atoms:
P1 0.000 0.000 0.000
B1 0.500 0.500 0.500
Be1 0.000 0.500 0.000
Be2 0.000 0.000 0.500
Be3 0.500 0.000 0.000

**Offset from the most stable computed form**: 826.6 meV/atom
**Energy of formation from the pure elements**: 1.254 eV/atom